Record 1
First-principles (PBE) data for an optimized crystal structure of Ho4AsPO, as listed in OQMD via LeMat-Bulk.

a = 8.291 Å, b = 8.291 Å, c = 8.291 Å
α = 149.44°, β = 149.44°, γ = 43.77°
Fractional coordinates of all 7 atoms:
Ho 0.824 0.824 0.000
Ho 0.497 0.997 0.500
Ho 0.997 0.497 0.500
Ho 0.181 0.181 0.000
P 0.367 0.367 0.000
O 0.999 0.999 0.000
As 0.636 0.636 0.000

Record 2
First-principles (PBE) data for an optimized crystal structure of HoAsPdO, as listed in OQMD via LeMat-Bulk.

a = 4.087 Å, b = 4.087 Å, c = 7.962 Å
α = 90.00°, β = 90.00°, γ = 90.00°
Fractional coordinates of all 8 atoms:
Pd 0.250 0.750 0.500
Pd 0.750 0.250 0.500
As 0.250 0.250 0.679
As 0.750 0.750 0.321
O 0.250 0.750 0.000
O 0.750 0.250 0.000
Ho 0.750 0.750 0.873
Ho 0.250 0.250 0.127

Record 3
First-principles (PBE) data for an optimized crystal structure of HoAsPdO, as listed in OQMD via LeMat-Bulk.

a = 5.713 Å, b = 5.713 Å, c = 4.621 Å
α = 90.00°, β = 90.00°, γ = 90.00°
Fractional coordinates of all 8 atoms:
Pd 0.750 0.750 0.998
Pd 0.250 0.250 0.002
O 0.750 0.250 0.000
O 0.250 0.750 0.000
Ho 0.750 0.250 0.500
Ho 0.250 0.750 0.500
As 0.250 0.250 0.502
As 0.750 0.750 0.498

Record 4
First-principles (PBE) data for an optimized crystal structure of HoAsPdO, as listed in OQMD via LeMat-Bulk.

a = 4.917 Å, b = 4.699 Å, c = 5.809 Å
α = 90.00°, β = 90.00°, γ = 90.00°
Fractional coordinates of all 8 atoms:
Ho 0.500 0.725 0.089
Ho 0.500 0.275 0.589
As 0.000 0.597 0.788
As 0.000 0.403 0.288
Pd 0.000 0.093 0.932
Pd 0.000 0.907 0.432
O 0.500 0.150 0.945
O 0.500 0.850 0.445

no.,DFT total energy (eV per atom)
1,-6.2466
2,-6.6751
3,-5.8137
4,-6.2969